Record 1
Material: Pr2ErBi
Method: DFT, PBE
State: relaxed

Structure (extended XYZ):
```
4
Lattice="4.182 0.000 0.000 2.091 3.621 0.000 2.091 1.207 9.635" Properties=species:S:1:pos:R:3 pbc="T T T"
Pr 2.091 1.207 2.077
Pr 2.091 1.207 7.552
Er 4.182 2.414 4.823
Bi 6.272 3.621 9.635
```

## Properties
Total DFT energy (no corrections) (eV/atom): -4.679
E above lowest polymorph (eV/atom): 0.2139
Crystal system: trigonal
Space-group type: R3m

=====

Record 2
Material: PrEr4Bi5
Method: DFT, PBE
State: relaxed

Structure (extended XYZ):
```
10
Lattice="-1.682 -0.034 4.159 -5.776 -1.215 -2.345 5.748 -10.380 -0.179" Properties=species:S:1:pos:R:3 pbc="T T T"
Bi -2.084 -4.987 -0.883
Bi 0.375 -6.642 2.517
Bi -1.292 -9.303 -0.598
Bi -2.888 -0.607 -1.173
Bi -0.417 -2.326 2.232
Er -3.325 -2.826 1.052
Er 0.818 -4.458 0.295
Er -2.528 -7.170 1.339
Er 1.615 -8.802 0.582
Pr 0.000 0.000 0.000
```

## Properties
Total DFT energy (no corrections) (eV/atom): -5.078
Crystal system: orthorhombic
Space-group type: Immm

=====

Record 3
Material: PrEr2Bi
Method: DFT, PBE
State: relaxed

Structure (extended XYZ):
```
8
Lattice="-1.657 0.455 3.795 4.764 -4.576 0.343 6.510 6.928 2.013" Properties=species:S:1:pos:R:3 pbc="T T T"
Bi 6.136 3.123 4.591
Bi 3.481 -0.317 1.559
Er 0.488 -0.678 2.581
Er 6.380 0.560 2.719
Er 3.237 2.247 3.431
Er 9.129 3.485 3.569
Pr 5.298 4.737 1.746
Pr 4.319 -1.930 4.404
```

## Properties
Total DFT energy (no corrections) (eV/atom): -4.841
E above lowest polymorph (eV/atom): 0.0000
Crystal system: orthorhombic
Space-group type: Cmcm

=====

Record 4
Material: PrErBi2
Method: DFT, PBE
State: relaxed

Structure (extended XYZ):
```
4
Lattice="-2.577 -1.472 2.442 1.361 -3.527 -0.690 5.373 0.862 6.190" Properties=species:S:1:pos:R:3 pbc="T T T"
Er -0.608 -2.500 0.876
Bi 4.099 0.657 4.723
Bi 1.273 0.204 1.467
Pr 2.078 -2.069 3.971
```

## Properties
Total DFT energy (no corrections) (eV/atom): -4.898
E above lowest polymorph (eV/atom): 0.2589
Crystal system: tetragonal
Space-group type: P4/mmm

=====

Number 1: energy of formation from the pure elements -0.18 eV/atom, spin magnetization 0.8 μB/cell. Number 2: energy of formation from the pure elements -0.83 eV/atom, spin magnetization 0.0 μB/cell. Number 3: energy of formation from the pure elements -0.39 eV/atom, spin magnetization 1.5 μB/cell. Number 4: energy of formation from the pure elements -0.62 eV/atom, spin magnetization 0.0 μB/cell.